Record 1
Below is a relaxed structure of Sm6Sn3Bi, with properties calculated at the PBE level.

Values from the calculation:
calculated formation energy: -521 meV/atom
total energy: -49.416 eV per formula unit

a b c (Å): 9.3978 9.3978 7.9056
angles (deg): 90.00 90.00 111.59
Closest atoms and distances in Å follow each position.
Element x y z (fractional)
1 Sm 0.0240 0.9760 0.5000  1 Bi 3.10, 4 Sn 3.19-3.21, 2 Sm 3.45
2 Sm 0.0896 0.5113 0.9957  3 Sn 3.12-3.17, 1 Bi 3.34, 1 Sm 3.45
3 Sm 0.2500 0.3353 0.3570  4 Sn 3.13-3.34, 1 Sm 3.45
4 Sm 0.2824 0.7176 0.3975  1 Bi 3.36, 3 Sn 3.37-3.47, 4 Sm 3.45-3.51
5 Sm 0.3353 0.2500 0.8570  4 Sn 3.13-3.34, 1 Sm 3.45
6 Sm 0.4887 0.9104 0.9957  3 Sn 3.12-3.17, 1 Bi 3.34, 1 Sm 3.45
7 Sm 0.5113 0.0896 0.4957  3 Sn 3.12-3.17, 1 Bi 3.34, 1 Sm 3.45
8 Sm 0.6647 0.7500 0.3570  4 Sn 3.13-3.34, 1 Sm 3.45
9 Sm 0.7176 0.2824 0.8975  1 Bi 3.36, 3 Sn 3.37-3.47, 4 Sm 3.45-3.51
10 Sm 0.7500 0.6647 0.8570  4 Sn 3.13-3.34, 1 Sm 3.45
11 Sm 0.9104 0.4887 0.4957  3 Sn 3.12-3.17, 1 Bi 3.34, 1 Sm 3.45
12 Sm 0.9760 0.0240 0.0000  1 Bi 3.10, 4 Sn 3.19-3.21, 2 Sm 3.45
13 Sn 0.0329 0.2727 0.7035  7 Sm 3.12-3.37, 1 Sn 3.23
14 Sn 0.2727 0.0329 0.2035  7 Sm 3.12-3.37, 1 Sn 3.23
15 Sn 0.4353 0.5647 0.0780  7 Sm 3.13-3.47
16 Sn 0.5647 0.4353 0.5780  7 Sm 3.13-3.47
17 Sn 0.7273 0.9671 0.7035  7 Sm 3.12-3.37, 1 Sn 3.23
18 Sn 0.9671 0.7273 0.2035  7 Sm 3.12-3.37, 1 Sn 3.23
19 Bi 0.1721 0.8279 0.7624  4 Sm 3.10-3.36
20 Bi 0.8279 0.1721 0.2624  4 Sm 3.10-3.36

=====

Record 2
Below is a relaxed structure of Ta2OsRu, with properties calculated at the PBE level.

Values from the calculation:
calculated formation energy: 122 meV/atom
energy above the lowest structure with this stoichiometry: 0.441 eV per atom
total energy: -43.724 eV per formula unit

a b c (Å): 3.1507 4.6549 8.8690
angles (deg): 90.00 90.00 90.00
Closest atoms and distances in Å follow each position.
Element x y z (fractional)
1 Ta 0.0000 0.0000 0.0000  2 Os 2.66, 6 Ta 2.81-2.85
2 Ta 0.0000 0.5000 0.2678  2 Ru 2.64, 6 Ta 2.81-2.85
3 Ta 0.5000 0.0000 0.2678  2 Ru 2.64, 6 Ta 2.81-2.85
4 Ta 0.5000 0.5000 0.0000  2 Os 2.66, 6 Ta 2.81-2.85
5 Os 0.0000 0.5000 0.7588  2 Ta 2.66, 2 Ru 2.73, 4 Os 2.81
6 Os 0.5000 0.0000 0.7588  2 Ta 2.66, 2 Ru 2.73, 4 Os 2.81
7 Ru 0.0000 0.0000 0.5070  2 Ta 2.64, 2 Os 2.73, 4 Ru 2.81
8 Ru 0.5000 0.5000 0.5070  2 Ta 2.64, 2 Os 2.73, 4 Ru 2.81

=====

Record 3
Below is a relaxed structure of SrB3W, with properties calculated at the PBE level.

Values from the calculation:
calculated formation energy: 3372 meV/atom
energy above the lowest structure with this stoichiometry: 2.966 eV per atom
total energy: -17.805 eV per formula unit

a b c (Å): 4.2113 4.2113 4.2113
angles (deg): 90.00 90.00 90.00
Closest atoms and distances in Å follow each position.
Element x y z (fractional)
1 Sr 0.0000 0.0000 0.0000  6 B 2.11
2 B 0.0000 0.0000 0.5000  2 Sr 2.11
3 B 0.0000 0.5000 0.0000  2 Sr 2.11
4 B 0.5000 0.0000 0.0000  2 Sr 2.11
5 W 0.5000 0.5000 0.5000  12 B 2.98

=====

Record 4
Below is a relaxed structure of Gd2ErAg, with properties calculated at the PBE level.

Values from the calculation:
calculated formation energy: -118 meV/atom
energy above the lowest structure with this stoichiometry: 0.000 eV per atom
total energy: -36.047 eV per formula unit

a b c (Å): 3.6290 3.6290 8.6274
angles (deg): 90.00 90.00 90.00
Closest atoms and distances in Å follow each position.
Element x y z (fractional)
1 Gd 0.0000 0.0000 0.2180  4 Ag 3.18, 4 Er 3.54
2 Gd 0.0000 0.0000 0.7820  4 Ag 3.18, 4 Er 3.54
3 Er 0.5000 0.5000 0.5000  8 Gd 3.54, 4 Er 3.63
4 Ag 0.5000 0.5000 0.0000  8 Gd 3.18